Model i:
HOs | the Alexandria database | PBE | relaxed; D(E_F) = 1.86 states/eV/f.u.
1.0
2.7057 0.0000 0.0000
0.0000 4.7641 0.0000
0.0000 0.0000 2.7883
H Os
2 2
direct
0.0000 0.0000 0.0000 H
0.5000 0.5000 0.0000 H
0.0000 0.5000 0.5000 Os
0.5000 0.0000 0.5000 Os

=====

Model ii:
HOs | the Alexandria database | PBE | relaxed; D(E_F) = 0.65 states/eV/f.u.
1.0
0.0000 3.1112 4.0378
2.7915 0.0000 4.0378
2.7915 3.1112 0.0000
H Os
4 4
direct
0.0186 0.0186 0.2314 H
0.2314 0.2314 0.0186 H
0.7686 0.7686 0.9814 H
0.9814 0.9814 0.7686 H
0.1629 0.5871 0.1629 Os
0.4129 0.8371 0.4129 Os
0.5871 0.1629 0.5871 Os
0.8371 0.4129 0.8371 Os

=====

Model iii:
HOs | the Alexandria database | PBE | relaxed; D(E_F) = 0.85 states/eV/f.u.
1.0
2.7858 0.0000 0.0000
0.0000 10.0783 0.0000
0.0000 0.0000 4.0342
H Os
6 6
direct
0.2500 0.0678 0.2069 H
0.2500 0.4322 0.2069 H
0.2500 0.7500 0.2166 H
0.7500 0.2500 0.7834 H
0.7500 0.5678 0.7931 H
0.7500 0.9322 0.7931 H
0.2500 0.2500 0.0565 Os
0.2500 0.6099 0.4755 Os
0.2500 0.8901 0.4755 Os
0.7500 0.1099 0.5245 Os
0.7500 0.3901 0.5245 Os
0.7500 0.7500 0.9435 Os

=====

Relative stability in eV/atom, measured from the most stable structure: model i 0.163; model ii 0.000; model iii 0.029

=====

Model i:
HOs | the Alexandria database | PBE | relaxed; D(E_F) = 0.82 states/eV/f.u.
1.0
6.9644 0.0000 0.0000
-3.4822 6.0314 0.0000
0.0000 0.0000 2.7354
H Os
6 6
direct
0.1791 0.5182 0.2500 H
0.3392 0.8209 0.2500 H
0.4818 0.6608 0.2500 H
0.5182 0.3392 0.7500 H
0.6608 0.1791 0.7500 H
0.8209 0.4818 0.7500 H
0.0140 0.6827 0.2500 Os
0.3173 0.3313 0.2500 Os
0.3313 0.0140 0.7500 Os
0.6687 0.9860 0.2500 Os
0.6827 0.6687 0.7500 Os
0.9860 0.3173 0.7500 Os

=====

Model ii:
A geometry-optimized HOs structure. Source: the Alexandria database, functional PBE.

```
HOs
1.0
5.3986 0.0000 0.0000
0.0000 5.3986 0.0000
0.0000 0.0000 5.3986
H Os
8 8
direct
0.1284 0.1284 0.1284 H
0.1284 0.8716 0.8716 H
0.3716 0.3716 0.6284 H
0.3716 0.6284 0.3716 H
0.6284 0.3716 0.3716 H
0.6284 0.6284 0.6284 H
0.8716 0.1284 0.8716 H
0.8716 0.8716 0.1284 H
0.1909 0.1909 0.8091 Os
0.1909 0.8091 0.1909 Os
0.3091 0.3091 0.3091 Os
0.3091 0.6909 0.6909 Os
0.6909 0.3091 0.6909 Os
0.6909 0.6909 0.3091 Os
0.8091 0.1909 0.1909 Os
0.8091 0.8091 0.8091 Os
```

=====

Relative stability in eV/atom, measured from the most stable structure: model i 0.000; model ii 0.336

=====

Model i:
HOs | the Alexandria database | PBE | relaxed; D(E_F) = 1.02 states/eV/f.u.
1.0
4.9990 0.0000 0.0000
0.0000 4.9990 0.0000
0.0000 0.0000 2.8939
H Os
4 4
direct
0.1544 0.1544 0.0000 H
0.3456 0.6544 0.5000 H
0.6544 0.3456 0.5000 H
0.8456 0.8456 0.0000 H
0.2038 0.7962 0.0000 Os
0.2962 0.2962 0.5000 Os
0.7038 0.7038 0.5000 Os
0.7962 0.2038 0.0000 Os

=====

Model ii:
HOs | the Alexandria database | PBE | relaxed; D(E_F) = 1.37 states/eV/f.u.
1.0
2.7695 0.0000 0.0000
0.0000 2.7695 0.0000
0.0000 0.0000 2.4905
H Os
1 1
direct
0.0000 0.0000 0.0000 H
0.5000 0.5000 0.0000 Os

=====

Relative stability in eV/atom, measured from the most stable structure: model i 0.000; model ii 0.107